1.
{"formula": "AcFeH2F8", "functional": "GGA+U", "state": "relaxed", "spacegroup": "No. 2", "e_tot_ev_per_atom": -5.165, "magmom_total_mub_per_fu": 3.00, "lattice": [[4.406, 0.864, -0.037], [1.026, 4.380, 0.064], [-0.091, 0.145, 8.070]], "species": ["Ac", "Fe", "H", "H", "F", "F", "F", "F", "F", "F", "F", "F"], "frac_coords": [[0.000, 0.000, 0.500], [0.000, 0.000, 0.000], [0.505, 0.500, 0.796], [0.495, 0.500, 0.204], [0.232, 0.762, 0.206], [0.767, 0.768, 0.997], [0.712, 0.284, 0.213], [0.768, 0.238, 0.794], [0.233, 0.232, 0.003], [0.288, 0.716, 0.787], [0.674, 0.675, 0.498], [0.326, 0.325, 0.502]]}

2.
{"formula": "Li2AcFeF8", "functional": "GGA+U", "state": "relaxed", "spacegroup": "No. 147", "e_tot_ev_per_atom": -5.232, "dos_at_fermi_per_ev_cell": 7.13, "magmom_total_mub_per_fu": 1.00, "lattice": [[4.917, 0.000, 0.000], [-2.458, 4.258, 0.000], [0.000, 0.000, 6.968]], "species": ["Li", "Li", "Ac", "Fe", "F", "F", "F", "F", "F", "F", "F", "F"], "frac_coords": [[0.667, 0.333, 0.304], [0.333, 0.667, 0.696], [0.000, 0.000, 0.000], [0.000, 0.000, 0.500], [0.333, 0.667, 0.968], [0.282, 0.308, 0.328], [0.692, 0.974, 0.328], [0.667, 0.333, 0.032], [0.308, 0.026, 0.672], [0.718, 0.692, 0.672], [0.974, 0.282, 0.672], [0.026, 0.718, 0.328]]}

3.
{"formula": "AcTlFeF6", "functional": "GGA+U", "state": "relaxed", "spacegroup": "No. 74", "e_tot_ev_per_atom": -5.633, "dos_at_fermi_per_ev_cell": 0.00, "magmom_total_mub_per_fu": 4.00, "lattice": [[-3.709, 6.366, 4.012], [-6.533, -3.994, 0.299], [6.589, -3.241, 2.463]], "species": ["Ac", "Ac", "Tl", "Tl", "Fe", "Fe", "F", "F", "F", "F", "F", "F", "F", "F", "F", "F", "F", "F"], "frac_coords": [[0.500, 0.000, 0.500], [0.000, 0.000, 0.500], [0.807, 0.557, 0.613], [0.193, 0.443, 0.387], [0.500, 0.500, 0.000], [0.500, 0.000, 0.000], [0.592, 0.842, 0.183], [0.870, 0.120, 0.741], [0.812, 0.163, 0.270], [0.457, 0.607, 0.270], [0.457, 0.163, 0.270], [0.812, 0.607, 0.270], [0.408, 0.158, 0.817], [0.130, 0.880, 0.259], [0.188, 0.837, 0.730], [0.543, 0.393, 0.730], [0.543, 0.837, 0.730], [0.188, 0.393, 0.730]]}